Material: Pr2SmDy6Tm3
Method: DFT, PBE
State: optimized geometry Values from VASP.

Summary:
Volume in Å³ per atom: 32.0
Energy of formation from the pure elements in kJ per mole of atoms: 2
Space-group type: C2/m

```
&SYSTEM
  ibrav = 0, nat = 12, ntyp = 4
/
ATOMIC_SPECIES
Pr 140.91 Pr.upf
Sm 150.36 Sm.upf
Dy 162.50 Dy.upf
Tm 168.93 Tm.upf
CELL_PARAMETERS angstrom
3.090 -5.348 0.000
3.090 5.348 0.000
-2.054 0.000 11.619
ATOMIC_POSITIONS crystal
Pr 0.167 0.833 0.000
Pr 0.833 0.167 0.000
Sm 0.500 0.500 0.000
Dy 0.081 0.414 0.745
Dy 0.253 0.253 0.256
Dy 0.414 0.081 0.745
Dy 0.586 0.919 0.255
Dy 0.747 0.747 0.744
Dy 0.919 0.586 0.255
Tm 0.000 0.000 0.500
Tm 0.333 0.667 0.500
Tm 0.667 0.333 0.500
```



Material: K2LaCr
Method: DFT, PBE
State: optimized geometry Values from VASP.

Summary:
Volume in Å³ per atom: 38.7
Energy of formation from the pure elements in kJ per mole of atoms: 76
Space-group type: I4/mmm

```
&SYSTEM
  ibrav = 0, nat = 4, ntyp = 3
/
ATOMIC_SPECIES
K 39.10 K.upf
La 138.91 La.upf
Cr 52.00 Cr.upf
CELL_PARAMETERS angstrom
-2.399 2.399 6.729
2.399 -2.399 6.729
2.399 2.399 -6.729
ATOMIC_POSITIONS crystal
K 0.250 0.750 0.500
K 0.750 0.250 0.500
La 0.000 0.000 0.000
Cr 0.500 0.500 0.000
```



Material: Ba2ErZnS5
Method: DFT, PBE
State: optimized geometry Values from VASP.

Summary:
Volume in Å³ per atom: 26.4
ΔE_f (raw) in eV/atom: -1.608
Space-group type: Cmc2_1

```
&SYSTEM
  ibrav = 0, nat = 18, ntyp = 4
/
ATOMIC_SPECIES
Ba 137.33 Ba.upf
Er 167.26 Er.upf
Zn 65.41 Zn.upf
S 32.06 S.upf
CELL_PARAMETERS angstrom
2.051 -9.046 0.000
2.051 9.046 0.000
0.000 0.000 12.812
ATOMIC_POSITIONS crystal
Ba 0.118 0.882 0.500
Ba 0.128 0.872 0.134
Ba 0.872 0.128 0.634
Ba 0.882 0.118 0.000
Er 0.202 0.798 0.829
Er 0.798 0.202 0.329
Zn 0.442 0.558 0.246
Zn 0.558 0.442 0.746
S 0.047 0.953 0.840
S 0.298 0.702 0.469
S 0.313 0.687 0.185
S 0.347 0.653 0.820
S 0.499 0.501 0.588
S 0.501 0.499 0.088
S 0.653 0.347 0.320
S 0.687 0.313 0.685
S 0.702 0.298 0.969
S 0.953 0.047 0.340
```



Material: Os2C
Method: DFT, PBE
State: optimized geometry Values from VASP.

Summary:
Volume in Å³ per atom: 12.1
Energy of formation from the pure elements in kJ per mole of atoms: 82
Space-group type: P4/nmm

```
&SYSTEM
  ibrav = 0, nat = 6, ntyp = 2
/
ATOMIC_SPECIES
Os 190.23 Os.upf
C 12.01 C.upf
CELL_PARAMETERS angstrom
3.849 0.000 0.000
0.000 3.849 0.000
0.000 0.000 4.916
ATOMIC_POSITIONS crystal
Os 0.250 0.250 0.086
Os 0.250 0.750 0.500
Os 0.750 0.250 0.500
Os 0.750 0.750 0.914
C 0.250 0.250 0.682
C 0.750 0.750 0.318
```



Material: SrI2NO
Method: DFT, PBE
State: optimized geometry Values from VASP.

Summary:
Volume in Å³ per atom: 21.8
ΔE_f (raw) in eV/atom: 0.208
Space-group type: P4/mmm

```
&SYSTEM
  ibrav = 0, nat = 5, ntyp = 4
/
ATOMIC_SPECIES
Sr 87.62 Sr.upf
I 126.90 I.upf
N 14.01 N.upf
O 16.00 O.upf
CELL_PARAMETERS angstrom
4.851 0.000 0.000
0.000 4.851 0.000
0.000 0.000 4.639
ATOMIC_POSITIONS crystal
Sr 0.000 0.000 0.000
I 0.000 0.500 0.500
I 0.500 0.000 0.500
N 0.500 0.500 0.500
O 0.500 0.500 0.000
```



Material: AlMoAu
Method: DFT, PBE
State: optimized geometry Values from VASP.

Summary:
Volume in Å³ per atom: 16.1
Energy of formation from the pure elements in kJ per mole of atoms: -1
Space-group type: Imm2

```
&SYSTEM
  ibrav = 0, nat = 3, ntyp = 3
/
ATOMIC_SPECIES
Al 26.98 Al.upf
Mo 95.94 Mo.upf
Au 196.97 Au.upf
CELL_PARAMETERS angstrom
-1.409 1.621 5.280
1.409 -1.621 5.280
1.409 1.621 -5.280
ATOMIC_POSITIONS crystal
Al 0.000 0.000 0.000
Mo 0.343 0.343 0.000
Au 0.656 0.656 0.000
```



Material: V8As2S
Method: DFT, PBE
State: optimized geometry Values from VASP.

Summary:
Volume in Å³ per atom: 13.5
ΔE_f (raw) in eV/atom: -0.302
Space-group type: C2/m

```
&SYSTEM
  ibrav = 0, nat = 11, ntyp = 3
/
ATOMIC_SPECIES
V 50.94 V.upf
As 74.92 As.upf
S 32.06 S.upf
CELL_PARAMETERS angstrom
7.052 -2.088 0.000
7.052 2.088 0.000
-1.060 0.000 5.033
ATOMIC_POSITIONS crystal
V 0.023 0.023 0.257
V 0.228 0.228 0.337
V 0.335 0.335 0.943
V 0.410 0.410 0.511
V 0.590 0.590 0.489
V 0.665 0.665 0.057
V 0.772 0.772 0.663
V 0.977 0.977 0.743
As 0.158 0.158 0.745
As 0.842 0.842 0.255
S 0.500 0.500 0.000
```



Material: Ag2HgI2Br2
Method: DFT, PBE
State: optimized geometry Values from VASP.

Summary:
Volume in Å³ per atom: 31.4
ΔE_f (raw) in eV/atom: -0.265
Space-group type: C2/m

```
&SYSTEM
  ibrav = 0, nat = 7, ntyp = 4
/
ATOMIC_SPECIES
Ag 107.87 Ag.upf
Hg 200.59 Hg.upf
I 126.90 I.upf
Br 79.90 Br.upf
CELL_PARAMETERS angstrom
7.267 -2.157 0.000
7.267 2.157 0.000
-2.098 0.000 7.004
ATOMIC_POSITIONS crystal
Ag 0.247 0.247 0.256
Ag 0.753 0.753 0.744
Hg 0.000 0.000 0.500
I 0.383 0.383 0.655
I 0.617 0.617 0.345
Br 0.146 0.146 0.843
Br 0.854 0.854 0.157
```



Material: TaGe2HPt
Method: DFT, PBE
State: optimized geometry Values from VASP.

Summary:
E in eV per atom: -4.787
Volume in Å³ per atom: 23.5
Space-group type: P4/mmm

```
&SYSTEM
  ibrav = 0, nat = 5, ntyp = 4
/
ATOMIC_SPECIES
Ta 180.95 Ta.upf
Ge 72.64 Ge.upf
H 1.01 H.upf
Pt 195.08 Pt.upf
CELL_PARAMETERS angstrom
4.750 0.000 0.000
0.000 4.750 0.000
0.000 0.000 5.197
ATOMIC_POSITIONS crystal
Ta 0.000 0.000 0.000
Ge 0.000 0.500 0.500
Ge 0.500 0.000 0.500
H 0.500 0.500 0.000
Pt 0.000 0.000 0.500
```



Material: Al5Sb
Method: DFT, PBE
State: optimized geometry Values from VASP.

Summary:
Volume in Å³ per atom: 18.9
ΔE_f (raw) in eV/atom: 0.124
Space-group type: C2/m

```
&SYSTEM
  ibrav = 0, nat = 6, ntyp = 2
/
ATOMIC_SPECIES
Al 26.98 Al.upf
Sb 121.76 Sb.upf
CELL_PARAMETERS angstrom
6.004 -1.480 0.000
6.004 1.480 0.000
-1.830 0.000 6.398
ATOMIC_POSITIONS crystal
Al 0.000 0.000 0.000
Al 0.313 0.313 0.683
Al 0.335 0.335 0.133
Al 0.665 0.665 0.867
Al 0.687 0.687 0.317
Sb 0.000 0.000 0.500
```



Material: MgNbAg2Au
Method: DFT, PBE
State: optimized geometry Values from VASP.

Summary:
Volume in Å³ per atom: 27.7
Energy of formation from the pure elements in kJ per mole of atoms: 139
Space-group type: P4/mmm

```
&SYSTEM
  ibrav = 0, nat = 5, ntyp = 4
/
ATOMIC_SPECIES
Mg 24.30 Mg.upf
Nb 92.91 Nb.upf
Ag 107.87 Ag.upf
Au 196.97 Au.upf
CELL_PARAMETERS angstrom
5.085 0.000 0.000
0.000 5.085 0.000
0.000 0.000 5.365
ATOMIC_POSITIONS crystal
Mg 0.000 0.000 0.000
Nb 0.000 0.000 0.500
Ag 0.000 0.500 0.500
Ag 0.500 0.000 0.500
Au 0.500 0.500 0.000
```



Material: RbLi3H3
Method: DFT, PBE
State: optimized geometry Values from VASP.

Summary:
E in eV per atom: -2.489
Volume in Å³ per atom: 14.4
Space-group type: Pm-3n

```
&SYSTEM
  ibrav = 0, nat = 14, ntyp = 3
/
ATOMIC_SPECIES
Rb 85.47 Rb.upf
Li 6.94 Li.upf
H 1.01 H.upf
CELL_PARAMETERS angstrom
5.866 0.000 0.000
0.000 5.866 0.000
0.000 0.000 5.866
ATOMIC_POSITIONS crystal
Rb 0.000 0.000 0.000
Rb 0.500 0.500 0.500
Li 0.000 0.250 0.500
Li 0.000 0.750 0.500
Li 0.250 0.500 0.000
Li 0.500 0.000 0.250
Li 0.500 0.000 0.750
Li 0.750 0.500 0.000
H 0.000 0.500 0.250
H 0.000 0.500 0.750
H 0.250 0.000 0.500
H 0.500 0.250 0.000
H 0.500 0.750 0.000
H 0.750 0.000 0.500
```



Material: LaSb2AsI
Method: DFT, PBE
State: optimized geometry Values from VASP.

Summary:
Volume in Å³ per atom: 32.5
ΔE_f (raw) in eV/atom: -0.077
Space-group type: P4/mmm

```
&SYSTEM
  ibrav = 0, nat = 5, ntyp = 4
/
ATOMIC_SPECIES
La 138.91 La.upf
Sb 121.76 Sb.upf
As 74.92 As.upf
I 126.90 I.upf
CELL_PARAMETERS angstrom
5.421 0.000 0.000
0.000 5.421 0.000
0.000 0.000 5.534
ATOMIC_POSITIONS crystal
La 0.000 0.000 0.000
Sb 0.000 0.500 0.500
Sb 0.500 0.000 0.500
As 0.500 0.500 0.500
I 0.500 0.500 0.000
```



Material: Ni6SnPt
Method: DFT, PBE
State: optimized geometry Values from VASP.

Summary:
Volume in Å³ per atom: 12.6
Energy of formation from the pure elements in kJ per mole of atoms: -10
Space-group type: Cmmm

```
&SYSTEM
  ibrav = 0, nat = 32, ntyp = 3
/
ATOMIC_SPECIES
Ni 58.69 Ni.upf
Sn 118.71 Sn.upf
Pt 195.08 Pt.upf
CELL_PARAMETERS angstrom
3.683 -5.227 0.000
3.683 5.227 0.000
0.000 0.000 10.452
ATOMIC_POSITIONS crystal
Ni 0.000 0.000 0.000
Ni 0.000 0.000 0.500
Ni 0.120 0.373 0.123
Ni 0.120 0.373 0.877
Ni 0.122 0.370 0.373
Ni 0.122 0.370 0.627
Ni 0.249 0.751 0.247
Ni 0.249 0.751 0.753
Ni 0.370 0.122 0.373
Ni 0.370 0.122 0.627
Ni 0.373 0.120 0.123
Ni 0.373 0.120 0.877
Ni 0.500 0.500 0.000
Ni 0.500 0.500 0.500
Ni 0.627 0.880 0.123
Ni 0.627 0.880 0.877
Ni 0.630 0.878 0.373
Ni 0.630 0.878 0.627
Ni 0.751 0.249 0.247
Ni 0.751 0.249 0.753
Ni 0.878 0.630 0.373
Ni 0.878 0.630 0.627
Ni 0.880 0.627 0.123
Ni 0.880 0.627 0.877
Sn 0.252 0.748 0.500
Sn 0.500 0.500 0.248
Sn 0.500 0.500 0.752
Sn 0.748 0.252 0.500
Pt 0.000 0.000 0.247
Pt 0.000 0.000 0.753
Pt 0.254 0.746 0.000
Pt 0.746 0.254 0.000
```



Material: Li8MgAg4
Method: DFT, PBE
State: optimized geometry Values from VASP.

Summary:
Volume in Å³ per atom: 17.4
Energy of formation from the pure elements in kJ per mole of atoms: -12
Space-group type: Pmm2

```
&SYSTEM
  ibrav = 0, nat = 13, ntyp = 3
/
ATOMIC_SPECIES
Li 6.94 Li.upf
Mg 24.30 Mg.upf
Ag 107.87 Ag.upf
CELL_PARAMETERS angstrom
2.962 0.000 0.000
0.000 4.602 0.000
0.000 0.000 16.605
ATOMIC_POSITIONS crystal
Li 0.000 0.000 0.000
Li 0.000 0.000 0.262
Li 0.000 0.500 0.135
Li 0.000 0.500 0.441
Li 0.500 0.000 0.402
Li 0.500 0.000 0.682
Li 0.500 0.500 0.601
Li 0.500 0.500 0.945
Mg 0.500 0.000 0.842
Ag 0.000 0.000 0.541
Ag 0.000 0.500 0.767
Ag 0.500 0.000 0.130
Ag 0.500 0.500 0.295
```



Material: Er7Co2Ir2
Method: DFT, PBE
State: optimized geometry Values from VASP.

Summary:
Volume in Å³ per atom: 23.3
Energy of formation from the pure elements in kJ per mole of atoms: -29
Space-group type: Cmmm

```
&SYSTEM
  ibrav = 0, nat = 11, ntyp = 3
/
ATOMIC_SPECIES
Er 167.26 Er.upf
Co 58.93 Co.upf
Ir 192.22 Ir.upf
CELL_PARAMETERS angstrom
3.780 -5.137 0.000
3.780 5.137 0.000
0.000 0.000 6.603
ATOMIC_POSITIONS crystal
Er 0.000 0.000 0.000
Er 0.000 0.500 0.264
Er 0.000 0.500 0.736
Er 0.500 0.000 0.264
Er 0.500 0.000 0.736
Er 0.500 0.500 0.255
Er 0.500 0.500 0.745
Co 0.285 0.715 0.000
Co 0.715 0.285 0.000
Ir 0.183 0.183 0.500
Ir 0.817 0.817 0.500
```



Material: BeRe2Sb
Method: DFT, PBE
State: optimized geometry Values from VASP.

Summary:
Volume in Å³ per atom: 14.8
ΔE_f (raw) in eV/atom: 0.472
Space-group type: Immm

```
&SYSTEM
  ibrav = 0, nat = 4, ntyp = 3
/
ATOMIC_SPECIES
Be 9.01 Be.upf
Re 186.21 Re.upf
Sb 121.76 Sb.upf
CELL_PARAMETERS angstrom
-1.552 2.318 4.104
1.552 -2.318 4.104
1.552 2.318 -4.104
ATOMIC_POSITIONS crystal
Be 0.000 0.000 0.000
Re 0.208 0.708 0.500
Re 0.792 0.292 0.500
Sb 0.500 0.500 0.000
```



Material: TbPm6Pr2Y3
Method: DFT, PBE
State: optimized geometry Values from VASP.

Summary:
Volume in Å³ per atom: 33.9
Energy of formation from the pure elements in kJ per mole of atoms: 1
Space-group type: C2/m

```
&SYSTEM
  ibrav = 0, nat = 12, ntyp = 4
/
ATOMIC_SPECIES
Tb 158.93 Tb.upf
Pm 145.00 Pm.upf
Pr 140.91 Pr.upf
Y 88.91 Y.upf
CELL_PARAMETERS angstrom
3.151 -5.459 0.000
3.151 5.459 0.000
-2.099 0.000 11.840
ATOMIC_POSITIONS crystal
Tb 0.000 0.000 0.000
Pm 0.084 0.416 0.253
Pm 0.248 0.248 0.747
Pm 0.416 0.084 0.253
Pm 0.584 0.916 0.747
Pm 0.752 0.752 0.253
Pm 0.916 0.584 0.747
Pr 0.333 0.667 0.000
Pr 0.667 0.333 0.000
Y 0.166 0.834 0.500
Y 0.500 0.500 0.500
Y 0.834 0.166 0.500
```



Material: BeAlCd3
Method: DFT, PBE
State: optimized geometry Values from VASP.

Summary:
Volume in Å³ per atom: 28.1
Energy of formation from the pure elements in kJ per mole of atoms: 81
Space-group type: Pm-3m

```
&SYSTEM
  ibrav = 0, nat = 5, ntyp = 3
/
ATOMIC_SPECIES
Be 9.01 Be.upf
Al 26.98 Al.upf
Cd 112.41 Cd.upf
CELL_PARAMETERS angstrom
5.201 0.000 0.000
0.000 5.201 0.000
0.000 0.000 5.201
ATOMIC_POSITIONS crystal
Be 0.000 0.000 0.000
Al 0.500 0.500 0.500
Cd 0.000 0.500 0.500
Cd 0.500 0.000 0.500
Cd 0.500 0.500 0.000
```



Material: BaSnSb2Pb
Method: DFT, PBE
State: optimized geometry Values from VASP.

Summary:
Volume in Å³ per atom: 37.3
ΔE_f (raw) in eV/atom: -0.382
Space-group type: C2/m

```
&SYSTEM
  ibrav = 0, nat = 10, ntyp = 4
/
ATOMIC_SPECIES
Ba 137.33 Ba.upf
Sn 118.71 Sn.upf
Sb 121.76 Sb.upf
Pb 207.20 Pb.upf
CELL_PARAMETERS angstrom
8.347 -2.468 0.000
8.347 2.468 0.000
-6.047 0.000 9.057
ATOMIC_POSITIONS crystal
Ba 0.228 0.228 0.211
Ba 0.772 0.772 0.789
Sn 0.442 0.442 0.100
Sn 0.558 0.558 0.900
Sb 0.127 0.127 0.820
Sb 0.354 0.354 0.646
Sb 0.646 0.646 0.354
Sb 0.873 0.873 0.180
Pb 0.087 0.087 0.452
Pb 0.913 0.913 0.548
```



Material: CaSm2Dy
Method: DFT, PBE
State: optimized geometry Values from VASP.

Summary:
Volume in Å³ per atom: 34.7
Energy of formation from the pure elements in kJ per mole of atoms: 4
Space-group type: R3m

```
&SYSTEM
  ibrav = 0, nat = 4, ntyp = 3
/
ATOMIC_SPECIES
Ca 40.08 Ca.upf
Sm 150.36 Sm.upf
Dy 162.50 Dy.upf
CELL_PARAMETERS angstrom
1.817 1.049 12.127
-1.817 1.049 12.127
0.000 -2.098 12.127
ATOMIC_POSITIONS crystal
Ca 0.000 0.000 0.000
Sm 0.578 0.578 0.578
Sm 0.755 0.755 0.755
Dy 0.166 0.166 0.166
```



Material: KCoCu
Method: DFT, PBE
State: optimized geometry Values from VASP.

Summary:
Volume in Å³ per atom: 29.2
Energy of formation from the pure elements in kJ per mole of atoms: 172
Space-group type: F-43m

```
&SYSTEM
  ibrav = 0, nat = 3, ntyp = 3
/
ATOMIC_SPECIES
K 39.10 K.upf
Co 58.93 Co.upf
Cu 63.55 Cu.upf
CELL_PARAMETERS angstrom
0.000 3.525 3.525
3.525 0.000 3.525
3.525 3.525 0.000
ATOMIC_POSITIONS crystal
K 0.000 0.000 0.000
Co 0.250 0.250 0.250
Cu 0.750 0.750 0.750
```



Material: CaRe2Pt
Method: DFT, PBE
State: optimized geometry Values from VASP.

Summary:
Volume in Å³ per atom: 18.2
Energy of formation from the pure elements in kJ per mole of atoms: 37
Space-group type: Imm2

```
&SYSTEM
  ibrav = 0, nat = 4, ntyp = 3
/
ATOMIC_SPECIES
Ca 40.08 Ca.upf
Re 186.21 Re.upf
Pt 195.08 Pt.upf
CELL_PARAMETERS angstrom
-1.619 2.435 4.619
1.619 -2.435 4.619
1.619 2.435 -4.619
ATOMIC_POSITIONS crystal
Ca 0.000 0.000 0.000
Re 0.512 0.512 0.000
Re 0.710 0.210 0.500
Pt 0.278 0.778 0.500
```



Material: YCdRu2
Method: DFT, PBE
State: optimized geometry Values from VASP.

Summary:
Volume in Å³ per atom: 21.3
Energy of formation from the pure elements in kJ per mole of atoms: 52
Space-group type: I-42d

```
&SYSTEM
  ibrav = 0, nat = 8, ntyp = 3
/
ATOMIC_SPECIES
Y 88.91 Y.upf
Cd 112.41 Cd.upf
Ru 101.07 Ru.upf
CELL_PARAMETERS angstrom
-2.100 2.100 9.652
2.100 -2.100 9.652
2.100 2.100 -9.652
ATOMIC_POSITIONS crystal
Y 0.000 0.000 0.000
Y 0.750 0.250 0.500
Cd 0.250 0.750 0.500
Cd 0.500 0.500 0.000
Ru 0.041 0.625 0.916
Ru 0.375 0.291 0.416
Ru 0.709 0.125 0.084
Ru 0.875 0.959 0.584
```